The following is a GGA+U calculation of a relaxed structure of Sr2CrOsO8, from Alexandria.

Structure (POSCAR):
```
Sr2CrOsO8
1.0
5.509 0.000 0.000
1.466 5.764 0.000
2.235 0.816 5.617
Sr Cr Os O
2 1 1 8
direct
0.110 0.182 0.167
0.890 0.818 0.833
0.500 0.000 0.500
0.500 0.500 0.500
0.277 0.475 0.808
0.287 0.811 0.434
0.295 0.984 0.799
0.304 0.317 0.424
0.696 0.683 0.576
0.705 0.016 0.201
0.713 0.189 0.566
0.723 0.525 0.192
```

Values from the calculation:
Uncorrected energy in eV/atom: -6.90
Total magnetization in μB per cell: 1.51